No. 1
Below is a relaxed structure of Mg10BiPb4, with properties calculated at the PBE level.

Geometry as POSCAR:
```
Mg10BiPb4
1.0
-2.284 2.454 -3.654
-4.340 -1.943 1.409
0.778 13.019 11.622
Mg Pb Bi
10 4 1
direct
0.349 0.849 0.698
0.849 0.349 0.698
0.250 0.750 0.500
0.947 0.447 0.894
0.053 0.553 0.106
0.651 0.151 0.302
0.553 0.053 0.106
0.750 0.250 0.500
0.447 0.947 0.894
0.151 0.651 0.302
0.800 0.800 0.600
0.200 0.200 0.400
0.399 0.399 0.799
0.601 0.601 0.201
0.000 0.000 0.000
```

Space-group type   No. 139
Formation energy   -64 meV per atom


No. 2
Below is a relaxed structure of Mg6BiPb2, with properties calculated at the PBE level.

Geometry as POSCAR:
```
Mg6BiPb2
1.0
-0.802 1.526 -5.768
7.223 -3.097 -1.824
-4.225 -8.809 -1.773
Pb Mg Bi
4 12 2
direct
0.940 0.424 0.784
0.560 0.924 0.716
0.440 0.076 0.284
0.060 0.576 0.216
0.335 0.858 0.026
0.604 0.437 0.292
0.866 0.754 0.923
0.366 0.746 0.423
0.104 0.063 0.792
0.835 0.642 0.526
0.165 0.358 0.474
0.396 0.563 0.708
0.665 0.142 0.974
0.134 0.246 0.077
0.634 0.254 0.577
0.896 0.937 0.208
0.500 0.500 0.000
0.000 0.000 0.500
```

Space-group type   No. 14
Formation energy   4 meV per atom


Number 1: density of states at the Fermi level 3.023 states/eV per cell, mass density 5.1 g cm⁻³, uncorrected energy -35.625 eV per formula unit. Number 2: density of states at the Fermi level 8.454 states/eV per cell, mass density 5.3 g cm⁻³, uncorrected energy -20.826 eV per formula unit.